w | Here is NaSrI2 after structural relaxation from the Alexandria database. Energies are from PBE.

Unit cell a=4.391 b=4.391 c=9.391 alpha=76.48 beta=76.48 gamma=60.00
Site moments in Bohr magnetons follow the coordinates.
Fractional positions:
I  0.259  0.259  0.224  0.02
I  0.741  0.741  0.776  0.02
Sr  0.500  0.500  0.500  0.13
Na  0.000  0.000  0.000  0.00

- density of states at the Fermi level (states/eV/cell) = 0.9
- ρ (g/cm³) = 4.0

=====

x | Here is NaSrI2 after structural relaxation from the Alexandria database. Energies are from PBE.

Unit cell a=5.857 b=5.857 c=5.857 alpha=60.00 beta=60.00 gamma=60.00
Fractional positions:
I  0.250  0.250  0.250
I  0.750  0.750  0.750
Sr  0.500  0.500  0.500
Na  0.000  0.000  0.000

- density of states at the Fermi level (states/eV/cell) = 2.6
- ρ (g/cm³) = 4.3

=====

Referenced to the most stable arrangement, the calculated values in kJ/mol of atoms are w 0.0; x 8.4.

=====

w | Here is NaSrTeI after structural relaxation from the Alexandria database. Energies are from PBE.

Unit cell a=5.744 b=5.744 c=5.744 alpha=60.00 beta=60.00 gamma=60.00
Fractional positions:
I  0.500  0.500  0.500
Sr  0.750  0.750  0.750
Te  0.000  0.000  0.000
Na  0.250  0.250  0.250

- density of states at the Fermi level (states/eV/cell) = 0.0
- ρ (g/cm³) = 4.5

=====

x | Here is NaSrTeI after structural relaxation from the Alexandria database. Energies are from PBE.

Unit cell a=4.772 b=4.772 c=8.176 alpha=73.03 beta=73.03 gamma=60.00
Fractional positions:
Na  0.121  0.121  0.637
Sr  0.598  0.598  0.207
Te  0.856  0.856  0.432
I  0.355  0.355  0.935

- density of states at the Fermi level (states/eV/cell) = 0.0
- ρ (g/cm³) = 4.0

=====

Referenced to the most stable arrangement, the calculated values in kJ/mol of atoms are w 14.9; x 0.0.

=====

w | Here is NaSrTeI2 after structural relaxation from the Alexandria database. Energies are from PBE.

Unit cell a=5.752 b=5.752 c=5.931 alpha=90.00 beta=90.00 gamma=90.00
Site moments in Bohr magnetons follow the coordinates.
Fractional positions:
I  0.000  0.500  0.000  0.09
I  0.500  0.000  0.000  0.09
Sr  0.500  0.500  0.500  0.00
Te  0.000  0.000  0.500  0.37
Na  0.000  0.000  0.000  0.01

- density of states at the Fermi level (states/eV/cell) = 3.9
- ρ (g/cm³) = 4.2

=====

x | Here is NaSrTeI2 after structural relaxation from the Alexandria database. Energies are from PBE.

Unit cell a=6.415 b=6.415 c=6.431 alpha=90.00 beta=90.00 gamma=90.00
Site moments in Bohr magnetons follow the coordinates.
Fractional positions:
I  0.000  0.500  0.000  0.06
I  0.500  0.000  0.000  0.06
Sr  0.000  0.000  0.000  0.00
Te  0.000  0.000  0.500  0.41
Na  0.500  0.500  0.500  0.00

- density of states at the Fermi level (states/eV/cell) = 5.2
- ρ (g/cm³) = 3.1

=====

Referenced to the most stable arrangement, the calculated values in kJ/mol of atoms are w 10.6; x 0.0.

=====

w | Here is NaSrTe2I after structural relaxation from the Alexandria database. Energies are from PBE.

Unit cell a=6.295 b=6.295 c=6.440 alpha=90.00 beta=90.00 gamma=90.00
Site moments in Bohr magnetons follow the coordinates.
Fractional positions:
I  0.000  0.000  0.500  0.09
Sr  0.000  0.000  0.000  0.00
Te  0.000  0.500  0.000  0.34
Te  0.500  0.000  0.000  0.34
Na  0.500  0.500  0.500  0.00

- density of states at the Fermi level (states/eV/cell) = 6.4
- ρ (g/cm³) = 3.2

=====

x | Here is NaSrTe2I after structural relaxation from the Alexandria database. Energies are from PBE.

Unit cell a=5.481 b=5.481 c=6.208 alpha=90.00 beta=90.00 gamma=90.00
Fractional positions:
I  0.000  0.000  0.500
Sr  0.500  0.500  0.500
Te  0.000  0.500  0.000
Te  0.500  0.000  0.000
Na  0.000  0.000  0.000

- density of states at the Fermi level (states/eV/cell) = 2.6
- ρ (g/cm³) = 4.4

=====

Referenced to the most stable arrangement, the calculated values in kJ/mol of atoms are w 1.0; x 0.0.

=====

w | Here is NaTaI2 after structural relaxation from the Alexandria database. Energies are from PBE.

Unit cell a=5.072 b=5.072 c=5.072 alpha=60.00 beta=60.00 gamma=60.00
Fractional positions:
I  0.250  0.250  0.250
I  0.750  0.750  0.750
Na  0.000  0.000  0.000
Ta  0.500  0.500  0.500

- density of states at the Fermi level (states/eV/cell) = 0.0
- ρ (g/cm³) = 8.2

=====

x | Here is NaTaI2 after structural relaxation from the Alexandria database. Energies are from PBE.

Unit cell a=6.080 b=6.080 c=9.336 alpha=71.00 beta=71.00 gamma=90.00
Site moments in Bohr magnetons follow the coordinates.
Fractional positions:
I  0.665  0.125  0.250  0.02
I  0.085  0.625  0.250  0.01
I  0.375  0.335  0.750  0.02
I  0.875  0.915  0.750  0.02
Na  0.500  0.500  0.000  0.01
Na  0.250  0.750  0.500  0.01
Ta  0.000  0.000  0.000  2.19
Ta  0.750  0.250  0.500  2.19

- density of states at the Fermi level (states/eV/cell) = 3.5
- ρ (g/cm³) = 5.0

=====

Referenced to the most stable arrangement, the calculated values in kJ/mol of atoms are w 0.0; x 1.5.

=====

w | Here is Na2TcI after structural relaxation from the Alexandria database. Energies are from PBE.

Unit cell a=8.657 b=8.657 c=6.731 alpha=49.98 beta=49.98 gamma=90.00
Site moments in Bohr magnetons follow the coordinates.
Fractional positions:
I  0.000  0.000  0.000  0.02
I  0.750  0.250  0.500  0.02
Na  0.624  0.125  0.250  -0.03
Na  0.126  0.625  0.250  -0.03
Na  0.375  0.376  0.750  -0.03
Na  0.875  0.874  0.750  -0.03
Tc  0.500  0.500  0.000  2.28
Tc  0.250  0.750  0.500  2.28

- density of states at the Fermi level (states/eV/cell) = 7.1
- ρ (g/cm³) = 4.3

=====

x | Here is Na2TcI after structural relaxation from the Alexandria database. Energies are from PBE.

Unit cell a=5.490 b=5.490 c=5.490 alpha=60.00 beta=60.00 gamma=60.00
Site moments in Bohr magnetons follow the coordinates.
Fractional positions:
I  0.500  0.500  0.500  0.10
Na  0.250  0.250  0.250  -0.01
Na  0.750  0.750  0.750  -0.01
Tc  0.000  0.000  0.000  3.29

- density of states at the Fermi level (states/eV/cell) = 4.4
- ρ (g/cm³) = 3.8

=====

Referenced to the most stable arrangement, the calculated values in kJ/mol of atoms are w 0.0; x 6.7.

=====

w | Here is NaTcI2 after structural relaxation from the Alexandria database. Energies are from PBE.

Unit cell a=5.166 b=5.166 c=5.166 alpha=60.00 beta=60.00 gamma=60.00
Site moments in Bohr magnetons follow the coordinates.
Fractional positions:
I  0.250  0.250  0.250  0.04
I  0.750  0.750  0.750  0.04
Na  0.000  0.000  0.000  0.01
Tc  0.500  0.500  0.500  1.67

- density of states at the Fermi level (states/eV/cell) = 5.6
- ρ (g/cm³) = 6.4

=====

x | Here is NaTcI2 after structural relaxation from the Alexandria database. Energies are from PBE.

Unit cell a=6.587 b=6.587 c=8.107 alpha=66.03 beta=66.03 gamma=90.00
Site moments in Bohr magnetons follow the coordinates.
Fractional positions:
I  0.684  0.125  0.250  0.03
I  0.066  0.625  0.250  0.02
I  0.375  0.316  0.750  0.04
I  0.875  0.934  0.750  0.03
Na  0.500  0.500  0.000  0.01
Na  0.250  0.750  0.500  0.01
Tc  0.000  0.000  0.000  1.21
Tc  0.750  0.250  0.500  1.17

- density of states at the Fermi level (states/eV/cell) = 7.4
- ρ (g/cm³) = 4.3

=====

Referenced to the most stable arrangement, the calculated values in kJ/mol of atoms are w 19.1; x 0.0.

=====

w | Here is NaTc3I after structural relaxation from the Alexandria database. Energies are from PBE.

Unit cell a=4.894 b=4.894 c=4.894 alpha=90.00 beta=90.00 gamma=90.00
Site moments in Bohr magnetons follow the coordinates.
Fractional positions:
I  0.000  0.000  0.000  -0.04
Na  0.500  0.500  0.500  -0.01
Tc  0.000  0.500  0.000  0.82
Tc  0.000  0.000  0.500  0.85
Tc  0.500  0.000  0.000  0.80

- density of states at the Fermi level (states/eV/cell) = 4.5
- ρ (g/cm³) = 6.3

=====

x | Here is NaTc3I after structural relaxation from the Alexandria database. Energies are from PBE.

Unit cell a=4.828 b=4.828 c=4.828 alpha=90.00 beta=90.00 gamma=90.00
Site moments in Bohr magnetons follow the coordinates.
Fractional positions:
I  0.500  0.500  0.500  0.13
Na  0.000  0.000  0.000  0.02
Tc  0.000  0.500  0.000  2.62
Tc  0.000  0.000  0.500  2.57
Tc  0.500  0.000  0.000  2.53

- density of states at the Fermi level (states/eV/cell) = 6.8
- ρ (g/cm³) = 6.6

=====

Referenced to the most stable arrangement, the calculated values in kJ/mol of atoms are w 0.0; x 73.3.

=====

w | Here is NaTeI after structural relaxation from the Alexandria database. Energies are from PBE.

Unit cell a=4.302 b=9.290 c=11.045 alpha=90.00 beta=90.00 gamma=90.00
Fractional positions:
I  0.750  0.938  0.836
I  0.250  0.438  0.664
I  0.250  0.062  0.164
I  0.750  0.562  0.336
Te  0.750  0.019  0.412
Te  0.250  0.519  0.088
Te  0.250  0.981  0.588
Te  0.750  0.481  0.912
Na  0.750  0.684  0.618
Na  0.250  0.184  0.882
Na  0.250  0.316  0.382
Na  0.750  0.816  0.118

- density of states at the Fermi level (states/eV/cell) = 0.1
- ρ (g/cm³) = 4.2

=====

x | Here is NaTeI after structural relaxation from the Alexandria database. Energies are from PBE.

Unit cell a=5.665 b=7.917 c=8.587 alpha=131.92 beta=109.25 gamma=90.01
Fractional positions:
Na  0.520  0.273  0.890
Na  0.020  0.773  0.890
Te  0.425  0.749  0.700
Te  0.615  0.797  0.080
I  0.877  0.174  0.605
I  0.163  0.372  0.176

- density of states at the Fermi level (states/eV/cell) = 1.9
- ρ (g/cm³) = 3.6

=====

Referenced to the most stable arrangement, the calculated values in kJ/mol of atoms are w 0.0; x 13.0.

=====

w | Here is Na3TeI after structural relaxation from the Alexandria database. Energies are from PBE.

Unit cell a=8.694 b=8.705 c=8.705 alpha=87.91 beta=89.12 gamma=89.12
Fractional positions:
Na  0.565  0.833  0.065
Na  0.935  0.935  0.167
Na  0.435  0.167  0.935
Na  0.065  0.065  0.833
Na  0.827  0.411  0.049
Na  0.673  0.951  0.589
Na  0.173  0.589  0.951
Na  0.327  0.049  0.411
Na  0.585  0.589  0.692
Na  0.915  0.308  0.411
Na  0.415  0.411  0.308
Na  0.085  0.692  0.589
Te  0.859  0.750  0.865
Te  0.641  0.135  0.250
Te  0.141  0.250  0.135
Te  0.359  0.865  0.750
I  0.250  0.739  0.261
I  0.750  0.261  0.739
I  0.250  0.364  0.636
I  0.750  0.636  0.364

- ρ (g/cm³) = 3.3

=====

x | Here is Na3TeI after structural relaxation from the Alexandria database. Energies are from PBE.

Unit cell a=7.658 b=9.659 c=9.895 alpha=104.95 beta=90.00 gamma=90.00
Fractional positions:
Na  0.056  0.064  0.267
Na  0.944  0.936  0.733
Na  0.556  0.936  0.233
Na  0.444  0.064  0.767
Na  0.505  0.636  0.416
Na  0.495  0.364  0.584
Na  0.005  0.364  0.084
Na  0.995  0.636  0.916
Na  0.991  0.633  0.402
Na  0.009  0.367  0.598
Na  0.491  0.367  0.098
Na  0.509  0.633  0.902
Te  0.741  0.636  0.159
Te  0.259  0.364  0.841
Te  0.241  0.364  0.341
Te  0.759  0.636  0.659
I  0.249  0.900  0.475
I  0.751  0.100  0.525
I  0.749  0.100  0.025
I  0.251  0.900  0.975

- density of states at the Fermi level (states/eV/cell) = 0.0
- ρ (g/cm³) = 3.0

=====

y | Here is Na3TeI after structural relaxation from the Alexandria database. Energies are from PBE.

Unit cell a=5.863 b=5.863 c=5.863 alpha=90.00 beta=90.00 gamma=90.00
Fractional positions:
I  0.500  0.500  0.500
Na  0.000  0.500  0.000
Na  0.000  0.000  0.500
Na  0.500  0.000  0.000
Te  0.000  0.000  0.000

- density of states at the Fermi level (states/eV/cell) = 0.0
- ρ (g/cm³) = 2.7

=====

Referenced to the most stable arrangement, the calculated values in kJ/mol of atoms are w 2.3; x 0.0; y 9.5.

=====

w | Here is NaTeI2 after structural relaxation from the Alexandria database. Energies are from PBE.

Unit cell a=4.440 b=4.440 c=9.900 alpha=77.04 beta=77.04 gamma=60.00
Site moments in Bohr magnetons follow the coordinates.
Fractional positions:
I  0.102  0.102  0.693  0.01
I  0.898  0.898  0.307  0.01
Na  0.500  0.500  0.500  0.00
Te  0.000  0.000  0.000  0.09

- density of states at the Fermi level (states/eV/cell) = 2.9
- ρ (g/cm³) = 4.1

=====

x | Here is NaTeI2 after structural relaxation from the Alexandria database. Energies are from PBE.

Unit cell a=5.886 b=5.886 c=5.886 alpha=60.00 beta=60.00 gamma=60.00
Site moments in Bohr magnetons follow the coordinates.
Fractional positions:
I  0.250  0.250  0.250  0.26
I  0.750  0.750  0.750  0.26
Na  0.000  0.000  0.000  0.00
Te  0.500  0.500  0.500  0.97

- density of states at the Fermi level (states/eV/cell) = 5.4
- ρ (g/cm³) = 4.7

=====

Referenced to the most stable arrangement, the calculated values in kJ/mol of atoms are w 0.0; x 29.3.

=====

w | Here is NaTe2I after structural relaxation from the Alexandria database. Energies are from PBE.

Unit cell a=10.447 b=10.447 c=10.447 alpha=21.94 beta=21.94 gamma=21.94
Fractional positions:
I  0.000  0.000  0.000
Na  0.500  0.500  0.500
Te  0.905  0.905  0.905
Te  0.095  0.095  0.095

- density of states at the Fermi level (states/eV/cell) = 2.8
- ρ (g/cm³) = 4.8

=====

x | Here is NaTe2I after structural relaxation from the Alexandria database. Energies are from PBE.

Unit cell a=6.510 b=6.510 c=9.800 alpha=70.60 beta=70.60 gamma=90.00
Fractional positions:
I  0.000  0.000  0.000
I  0.750  0.250  0.500
Na  0.500  0.500  0.000
Na  0.250  0.750  0.500
Te  0.663  0.125  0.250
Te  0.087  0.625  0.250
Te  0.375  0.337  0.750
Te  0.875  0.913  0.750

- density of states at the Fermi level (states/eV/cell) = 0.2
- ρ (g/cm³) = 3.7

=====

Referenced to the most stable arrangement, the calculated values in kJ/mol of atoms are w 0.0; x 13.3.